Record 1
DFT (PBE) results for CrRe3W after structural relaxation.

Output
Space-group type = Pm-3m, No. 221
Formation enthalpy at 0 K = 1.61 eV per atom
Energy above the most stable polymorph in this dataset = 0 meV per atom

Unit cell a=4.393 b=4.393 c=4.393 alpha=90.00 beta=90.00 gamma=90.00
Fractional positions:
Cr1 0.000 0.000 0.000
Re1 0.000 0.000 0.500
Re2 0.000 0.500 0.000
Re3 0.500 0.000 0.000
W1 0.500 0.500 0.500

Record 2
DFT (PBE) results for La2Pr2NdSm after structural relaxation.

Output
Space-group type = Pmc2_1, No. 26
Formation enthalpy at 0 K = 0.05 eV per atom

Unit cell a=5.885 b=10.156 c=7.182 alpha=90.00 beta=90.00 gamma=90.00
Fractional positions:
La1 0.000 0.166 0.000
La2 0.000 0.834 0.500
La3 0.500 0.332 0.499
La4 0.500 0.668 0.999
Pr1 0.000 0.169 0.500
Pr2 0.000 0.831 0.000
Pr3 0.500 0.000 0.250
Pr4 0.500 0.000 0.750
Nd1 0.000 0.500 0.250
Nd2 0.000 0.500 0.750
Sm1 0.500 0.335 0.000
Sm2 0.500 0.665 0.500

Record 3
DFT (PBE) results for Cu2HgP2 after structural relaxation.

Output
Space-group type = I4/mmm, No. 139
Formation enthalpy at 0 K = 0.26 eV per atom
Energy above the most stable polymorph in this dataset = 105 meV per atom

Unit cell a=3.654 b=3.654 c=11.973 alpha=90.00 beta=90.00 gamma=90.00
Fractional positions:
Cu1 0.000 0.000 0.110
Cu2 0.000 0.000 0.890
Cu3 0.500 0.500 0.390
Cu4 0.500 0.500 0.610
Hg1 0.000 0.000 0.500
Hg2 0.500 0.500 0.000
P1 0.000 0.500 0.250
P2 0.000 0.500 0.750
P3 0.500 0.000 0.250
P4 0.500 0.000 0.750

Record 4
DFT (PBE) results for MnBeN2 after structural relaxation.

Output
Space-group type = R-3m, No. 166
Raw formation energy = -0.249 eV/atom

Unit cell a=2.985 b=2.985 c=15.308 alpha=90.00 beta=90.00 gamma=120.00
Fractional positions:
Mn1 0.000 0.000 0.000
Mn2 0.333 0.667 0.667
Mn3 0.667 0.333 0.333
Be1 0.000 0.000 0.500
Be2 0.333 0.667 0.167
Be3 0.667 0.333 0.833
N1 0.000 0.000 0.400
N2 0.000 0.000 0.600
N3 0.333 0.667 0.067
N4 0.333 0.667 0.266
N5 0.667 0.333 0.734
N6 0.667 0.333 0.933

Record 5
DFT (PBE) results for PrHoAl2Pd5 after structural relaxation.

Output
Space-group type = P4/mmm, No. 123
Formation enthalpy at 0 K = -0.79 eV per atom

Unit cell a=4.281 b=4.281 c=9.258 alpha=90.00 beta=90.00 gamma=90.00
Fractional positions:
Pr1 0.000 0.000 0.000
Ho1 0.000 0.000 0.500
Al1 0.500 0.500 0.361
Al2 0.500 0.500 0.639
Pd1 0.000 0.500 0.231
Pd2 0.000 0.500 0.769
Pd3 0.500 0.000 0.231
Pd4 0.500 0.000 0.769
Pd5 0.500 0.500 0.000

Record 6
DFT (PBE) results for BaEr2Fe after structural relaxation.

Output
Space-group type = R-3m, No. 166
Formation enthalpy at 0 K = 0.32 eV per atom

Unit cell a=3.770 b=3.770 c=31.659 alpha=90.00 beta=90.00 gamma=120.00
Fractional positions:
Ba1 0.000 0.000 0.000
Ba2 0.333 0.667 0.667
Ba3 0.667 0.333 0.333
Er1 0.000 0.000 0.118
Er2 0.000 0.000 0.882
Er3 0.333 0.667 0.548
Er4 0.333 0.667 0.785
Er5 0.667 0.333 0.215
Er6 0.667 0.333 0.452
Fe1 0.000 0.000 0.500
Fe2 0.333 0.667 0.167
Fe3 0.667 0.333 0.833

For reference, size of the total moment by record: 0.0 0.0 0.0 9.0 0.0 2.2 μB/cell.